The following is a PBE calculation of a relaxed CsCdHg3 crystal, from Alexandria via LeMat-Bulk.

Lattice parameters (Å, degrees): 9.7911 5.6156 12.5377 90.00 90.00 90.00
Sites, in units of the cell vectors:
Cs (0.1866, 0.2500, 0.0063)
Cs (0.3134, 0.7500, 0.5063)
Cs (0.6866, 0.2500, 0.4937)
Cs (0.8134, 0.7500, 0.9937)
Cd (0.0762, 0.2500, 0.3670)
Cd (0.4238, 0.7500, 0.8670)
Cd (0.5762, 0.2500, 0.1330)
Cd (0.9238, 0.7500, 0.6330)
Hg (0.0659, 0.2500, 0.6069)
Hg (0.1370, 0.7500, 0.7963)
Hg (0.1500, 0.7500, 0.2167)
Hg (0.3500, 0.2500, 0.7167)
Hg (0.3630, 0.2500, 0.2963)
Hg (0.4341, 0.7500, 0.1069)
Hg (0.5659, 0.2500, 0.8931)
Hg (0.6370, 0.7500, 0.7037)
Hg (0.6500, 0.7500, 0.2833)
Hg (0.8500, 0.2500, 0.7833)
Hg (0.8630, 0.2500, 0.2037)
Hg (0.9341, 0.7500, 0.3931)

Summary:
M_tot: 0.00 μB/f.u.
Volume: 34.47 Å³/atom
Formation enthalpy at 0 K: -164 meV/atom
Polymorph energy (0 for the lowest one): 0.000 eV/f.u.

The following is a PBE calculation of a relaxed CsCdHg2 crystal, from Alexandria via LeMat-Bulk.

Lattice parameters (Å, degrees): 8.0445 8.0445 8.5382 90.00 90.00 120.00
Sites, in units of the cell vectors:
Cs (0.0000, 0.7147, 0.1667)
Cs (0.2853, 0.2853, 0.5000)
Cs (0.7147, 0.0000, 0.8333)
Cd (0.0000, 0.7543, 0.6667)
Cd (0.2457, 0.2457, 0.0000)
Cd (0.7543, 0.0000, 0.3333)
Hg (0.1898, 0.5486, 0.8279)
Hg (0.3588, 0.8102, 0.4945)
Hg (0.4514, 0.6412, 0.1612)
Hg (0.5486, 0.1898, 0.1721)
Hg (0.6412, 0.4514, 0.8388)
Hg (0.8102, 0.3588, 0.5055)

Summary:
M_tot: 0.00 μB/f.u.
Volume: 39.88 Å³/atom
Formation enthalpy at 0 K: -121 meV/atom

The following is a PBE calculation of a relaxed Cs2CdHg5 crystal, from Alexandria via LeMat-Bulk.

Lattice parameters (Å, degrees): 7.1917 7.3192 7.3591 62.01 82.83 62.63
Sites, in units of the cell vectors:
Cs (0.0000, 0.0000, 0.0000)
Cs (0.4768, 0.7839, 0.4928)
Cd (0.7592, 0.1746, 0.4439)
Hg (0.0236, 0.6318, 0.7075)
Hg (0.0608, 0.3913, 0.4192)
Hg (0.4075, 0.3840, 0.0772)
Hg (0.4448, 0.1777, 0.7649)
Hg (0.7032, 0.6223, 0.0417)

Summary:
M_tot: 0.00 μB/f.u.
Volume: 37.72 Å³/atom
Formation enthalpy at 0 K: -204 meV/atom

The following is a PBE calculation of a relaxed CsCd2Hg7 crystal, from Alexandria via LeMat-Bulk.

Lattice parameters (Å, degrees): 11.8364 11.8364 4.9265 90.00 90.00 150.03
Sites, in units of the cell vectors:
Cs (0.0000, 0.0000, 0.0000)
Cd (0.2621, 0.7379, 0.5000)
Cd (0.7379, 0.2621, 0.5000)
Hg (0.1299, 0.3695, 0.5000)
Hg (0.1856, 0.8144, 0.0000)
Hg (0.3695, 0.1299, 0.5000)
Hg (0.5000, 0.5000, 0.5000)
Hg (0.6305, 0.8701, 0.5000)
Hg (0.8144, 0.1856, 0.0000)
Hg (0.8701, 0.6305, 0.5000)

Summary:
M_tot: 0.00 μB/f.u.
Volume: 34.47 Å³/atom
Formation enthalpy at 0 K: -46 meV/atom